[1]
Below is Pd5I12Br3 after structural relaxation, with properties calculated at the PBE-GGA level.

Cell: 15.711 15.711 15.711 Å, 109.47 109.47 109.47°
Fractional positions:
Pd1 0.000 0.000 0.000
Pd2 0.000 0.000 0.500
Pd3 0.000 0.500 0.000
Pd4 0.000 0.500 0.500
Pd5 0.125 0.750 0.875
Pd6 0.125 0.875 0.250
Pd7 0.250 0.125 0.875
Pd8 0.250 0.625 0.375
Pd9 0.375 0.250 0.625
Pd10 0.375 0.625 0.750
Pd11 0.500 0.000 0.000
Pd12 0.500 0.000 0.500
Pd13 0.500 0.500 0.000
Pd14 0.500 0.500 0.500
Pd15 0.625 0.375 0.250
Pd16 0.625 0.750 0.375
Pd17 0.750 0.375 0.625
Pd18 0.750 0.875 0.125
Pd19 0.875 0.125 0.750
Pd20 0.875 0.250 0.125
I1 0.003 0.174 0.128
I2 0.003 0.329 0.875
I3 0.046 0.674 0.671
I4 0.046 0.872 0.375
I5 0.125 0.628 0.454
I6 0.125 0.997 0.671
I7 0.128 0.003 0.174
I8 0.128 0.625 0.954
I9 0.171 0.174 0.546
I10 0.171 0.497 0.625
I11 0.174 0.128 0.003
I12 0.174 0.546 0.171
I13 0.326 0.329 0.954
I14 0.326 0.497 0.372
I15 0.329 0.875 0.003
I16 0.329 0.954 0.326
I17 0.372 0.326 0.497
I18 0.372 0.546 0.875
I19 0.375 0.046 0.872
I20 0.375 0.829 0.503
I21 0.454 0.125 0.628
I22 0.454 0.829 0.826
I23 0.497 0.372 0.326
I24 0.497 0.625 0.171
I25 0.503 0.375 0.829
I26 0.503 0.628 0.674
I27 0.546 0.171 0.174
I28 0.546 0.875 0.372
I29 0.625 0.171 0.497
I30 0.625 0.954 0.128
I31 0.628 0.454 0.125
I32 0.628 0.674 0.503
I33 0.671 0.046 0.674
I34 0.671 0.125 0.997
I35 0.674 0.503 0.628
I36 0.674 0.671 0.046
I37 0.826 0.454 0.829
I38 0.826 0.872 0.997
I39 0.829 0.503 0.375
I40 0.829 0.826 0.454
I41 0.872 0.375 0.046
I42 0.872 0.997 0.826
I43 0.875 0.003 0.329
I44 0.875 0.372 0.546
I45 0.954 0.128 0.625
I46 0.954 0.326 0.329
I47 0.997 0.671 0.125
I48 0.997 0.826 0.872
Br1 0.125 0.250 0.375
Br2 0.125 0.375 0.750
Br3 0.250 0.375 0.125
Br4 0.250 0.875 0.625
Br5 0.375 0.125 0.250
Br6 0.375 0.750 0.125
Br7 0.625 0.250 0.875
Br8 0.625 0.875 0.750
Br9 0.750 0.125 0.375
Br10 0.750 0.625 0.875
Br11 0.875 0.625 0.250
Br12 0.875 0.750 0.625

Summary:
E   -0.088 Ha/atom
D(E_F)   108.77 states/eV/cell
Formation energy without anion corrections   82 meV per atom

***

[2]
Below is Tc2MoAs after structural relaxation, with properties calculated at the PBE-GGA level.

Cell: 2.911 4.103 5.043 Å, 90.00 90.00 90.00°
Fractional positions:
Tc1 0.000 0.000 0.000
Tc2 0.500 0.500 0.260
Mo1 0.500 0.500 0.755
As1 0.000 0.000 0.498

Summary:
ΔE_f   0.07 eV/atom
E   -0.330 Ha/atom
D(E_F)   3.66 states/eV/cell

***

[3]
Below is SrRu4Rh after structural relaxation, with properties calculated at the PBE-GGA level.

Cell: 5.253 5.253 5.253 Å, 60.00 60.00 60.00°
Fractional positions:
Sr1 0.000 0.000 0.000
Ru1 0.376 0.376 0.376
Ru2 0.376 0.376 0.872
Ru3 0.376 0.872 0.376
Ru4 0.872 0.376 0.376
Rh1 0.750 0.750 0.750

Summary:
ΔE_f   0.57 eV/atom
E   -0.262 Ha/atom
D(E_F)   10.33 states/eV/cell

***

[4]
Below is EuTm2Sc after structural relaxation, with properties calculated at the PBE-GGA level.

Cell: 5.565 5.565 5.565 Å, 60.00 60.00 60.00°
Fractional positions:
Eu1 0.000 0.000 0.000
Tm1 0.250 0.250 0.250
Tm2 0.750 0.750 0.750
Sc1 0.500 0.500 0.500

Summary:
ΔE_f   0.19 eV/atom
E   -0.228 Ha/atom
D(E_F)   7.76 states/eV/cell
Offset from the most stable computed form   98 meV/atom

***

[5]
Below is La3Tb5Sm4 after structural relaxation, with properties calculated at the PBE-GGA level.

Cell: 8.674 8.674 9.416 Å, 114.47 114.47 40.67°
Fractional positions:
La1 0.000 0.000 0.000
La2 0.293 0.293 0.775
La3 0.707 0.707 0.225
Tb1 0.073 0.073 0.697
Tb2 0.173 0.173 0.392
Tb3 0.500 0.500 0.000
Tb4 0.827 0.827 0.608
Tb5 0.927 0.927 0.303
Sm1 0.294 0.294 0.126
Sm2 0.418 0.418 0.559
Sm3 0.582 0.582 0.441
Sm4 0.706 0.706 0.874

Summary:
ΔE_f   0.22 eV/atom
E   -0.166 Ha/atom
D(E_F)   19.75 states/eV/cell
Offset from the most stable computed form   204 meV/atom